[1]
Material: Li4CeAl
Method: DFT, GGA-PBE
State: relaxed

Values from the calculation:
Crystal system: cubic
Energy of formation from the pure elements (meV per atom): 27

a b c (Å): 5.482 5.482 5.482
angles (deg): 60.00 60.00 60.00
Positions (direct):
1 Al 0.000 0.000 0.000
2 Ce 0.250 0.250 0.250
3 Li 0.627 0.627 0.118
4 Li 0.627 0.118 0.627
5 Li 0.627 0.627 0.627
6 Li 0.118 0.627 0.627

---

[2]
Material: KSiAgHg2
Method: DFT, GGA-PBE
State: relaxed

Values from the calculation:
Uncorrected formation energy (eV per atom): 0.060
Crystal system: tetragonal

a b c (Å): 5.345 5.345 4.938
angles (deg): 90.00 90.00 90.00
Positions (direct):
1 K 0.500 0.500 0.500
2 Si 0.000 0.000 0.000
3 Hg 0.000 0.500 0.000
4 Hg 0.500 0.000 0.000
5 Ag 0.000 0.000 0.500

---

M_tot (μB per cell)
0.994, 0.000
Density of states at the Fermi level (states/eV per atom)
1.691, 0.629